# FeSnBrO2

A relaxed FeSnBrO2 crystal (PBE+U, Alexandria via LeMat-Bulk).

CIF file:
```
data_FeSnBrO2
_symmetry_space_group_name_H-M 'P 1 21/m 1'
_symmetry_Int_Tables_number 11
_cell_length_a 7.015
_cell_length_b 4.195
_cell_length_c 7.210
_cell_angle_alpha 90.00
_cell_angle_beta 113.01
_cell_angle_gamma 90.00
loop_
_symmetry_equiv_pos_as_xyz
'x,y,z'
'-x,-y,-z'
'-x,y+1/2,-z'
'x,-y+1/2,z'
loop_
_atom_site_label
_atom_site_type_symbol
_atom_site_fract_x
_atom_site_fract_y
_atom_site_fract_z
Fe1 Fe 0.113 0.250 0.429
Sn1 Sn 0.154 0.250 0.922
Br1 Br 0.472 0.250 0.732
O1 O 0.025 0.750 0.892
O2 O 0.043 0.750 0.382
```

Calculated values
The crystal system is monoclinic. The density of states at the Fermi level comes out at 1.74 states/eV/f.u. The total energy is -53.30 eV for the cell shown. The value obtained for the magnetic moment is 4.01 μB per formula unit.